(1)
First-principles (PBE) data for a relaxed CaLaTcI2 crystal, as listed in Alexandria via LeMat-Bulk.

- Energy relative to the elements, uncorrected: -0.04 eV per atom

Cell lengths 5.689, 5.689, 5.018 Å; angles 90.00, 90.00, 90.00 degrees
Positions (direct):
Ca: 0.000 0.000 0.000
La: 0.500 0.500 0.000
Tc: 0.500 0.500 0.500
I: 0.000 0.500 0.500
I: 0.500 0.000 0.500

---

(2)
First-principles (PBE) data for a relaxed CaLaTe2I crystal, as listed in Alexandria via LeMat-Bulk.

- E above lowest polymorph: 0 meV/atom
- Energy relative to the elements, uncorrected: -0.94 eV per atom

Cell lengths 6.178, 6.178, 6.057 Å; angles 90.00, 90.00, 90.00 degrees
Positions (direct):
Ca: 0.000 0.000 0.000
La: 0.500 0.500 0.500
Te: 0.000 0.500 0.500
Te: 0.500 0.000 0.500
I: 0.500 0.500 0.000